First-principles (PBE+U) data for a relaxed KFeIrO6 crystal, as listed in Alexandria via LeMat-Bulk.

Cell and atoms, written as POSCAR:
```
KFeIrO6
1.0
5.2600 0.0000 0.0000
-2.6300 4.5553 0.0000
0.0000 0.0000 5.9691
K Fe Ir O
1 1 1 6
Direct
0.0000 0.0000 0.0000 K
0.3333 0.6667 0.5000 Fe
0.6667 0.3333 0.5000 Ir
0.3945 0.0165 0.6802 O
0.3945 0.3781 0.3198 O
0.6219 0.0165 0.3198 O
0.6219 0.6055 0.6802 O
0.9835 0.3781 0.6802 O
0.9835 0.6055 0.3198 O
```

D(E_F): 3.2 states/eV per cell
Final energy: -5.95 eV per atom
V: 15.89 Å³ per atom
Magnetic moment: 0.46 μB/atom
Space group: P312 (149)